[1]
{
  "formula": "LaAg2Pb",
  "functional": "GGA-PBE",
  "state": "relaxed",
  "lattice_angstrom": [[-1.092, -3.045, -1.677], [3.409, -1.281, 0.105], [-1.408, -3.194, 6.719]],
  "species": ["Pb", "Ag", "Ag", "La"],
  "fractional_positions": [[0.500, 0.500, 0.792], [0.000, 0.000, 0.024], [0.500, 0.500, 0.207], [0.000, 0.000, 0.478]],
  "formation_energy_ev_per_atom": -0.1373,
  "sg": "P4mm (99)",
  "n_ef_per_ev_fu": 4.2,
  "e_tot_ev_per_atom": -3.72
}

[2]
{
  "formula": "MgAgSe2",
  "functional": "GGA-PBE",
  "state": "relaxed",
  "lattice_angstrom": [[3.800, 0.000, 0.000], [0.000, 6.982, 0.000], [0.000, 0.000, 3.668]],
  "species": ["Ag", "Mg", "Se", "Se"],
  "fractional_positions": [[0.500, 0.000, 0.500], [0.000, 0.500, 0.500], [0.000, 0.000, 0.000], [0.500, 0.500, 0.000]],
  "formation_energy_uncorrected_mev_per_atom": -366,
  "sg": "Pmmm (47)",
  "n_ef_per_ev_fu": 1.9,
  "e_tot_ev_per_atom": -3.22
}

[3]
{
  "formula": "BaEu2Al",
  "functional": "GGA-PBE",
  "state": "relaxed",
  "lattice_angstrom": [[-0.553, -4.604, -3.471], [3.647, -4.471, 0.517], [-1.882, -5.039, 2.150]],
  "species": ["Eu", "Eu", "Ba", "Al"],
  "fractional_positions": [[0.250, 0.250, 0.250], [0.750, 0.750, 0.750], [0.000, 0.000, 0.000], [0.500, 0.500, 0.500]],
  "formation_energy_ev_per_atom": 0.0308,
  "relative_energy_mev_per_atom": 110,
  "sg": "Fm-3m (225)",
  "n_ef_per_ev_fu": 3.0,
  "e_tot_ev_per_atom": -6.52
}

[4]
{
  "formula": "NdIn2OsO8",
  "functional": "GGA-PBE",
  "state": "relaxed",
  "lattice_angstrom": [[-3.313, 3.043, -2.137], [-2.948, -0.384, 3.980], [3.082, 5.319, 2.797]],
  "species": ["Nd", "In", "In", "Os", "O", "O", "O", "O", "O", "O", "O", "O"],
  "fractional_positions": [[0.000, 0.000, 0.500], [0.500, 0.500, 0.751], [0.500, 0.500, 0.249], [0.000, 0.000, 0.000], [0.186, 0.810, 0.202], [0.722, 0.726, 0.000], [0.814, 0.190, 0.202], [0.814, 0.190, 0.798], [0.278, 0.274, 0.000], [0.186, 0.810, 0.798], [0.681, 0.686, 0.500], [0.319, 0.314, 0.500]],
  "formation_energy_uncorrected_mev_per_atom": -1606,
  "sg": "P2/m (10)",
  "n_ef_per_ev_fu": 5.1,
  "e_tot_ev_per_atom": -6.70
}

[5]
{
  "formula": "Na3LiNb",
  "functional": "GGA-PBE",
  "state": "relaxed",
  "lattice_angstrom": [[-5.962, -0.213, 0.555], [0.269, -5.955, 0.602], [0.530, 0.624, 5.935]],
  "species": ["Na", "Na", "Na", "Nb", "Li"],
  "fractional_positions": [[0.000, 0.500, 0.000], [0.000, 0.000, 0.500], [0.500, 0.000, 0.000], [0.000, 0.000, 0.000], [0.500, 0.500, 0.500]],
  "formation_energy_ev_per_atom": 1.1683,
  "relative_energy_mev_per_atom": 94,
  "sg": "Pm-3m (221)",
  "n_ef_per_ev_fu": 2.7,
  "e_tot_ev_per_atom": -2.02
}

Per-record spin magnetization, μB/f.u.: 0.01, 0.00, 14.95, 1.02, 5.14